## BeNiSbI2 (SCAN)

Data for a PBEsol-optimized structure of BeNiSbI2.

```
5
Lattice="5.265 0.000 0.000 0.000 5.265 0.000 0.000 0.000 4.784" Properties=species:S:1:pos:R:3 pbc="T T T"
Be 0.000 0.000 0.000
Ni 2.632 2.632 2.392
Sb 2.632 2.632 0.000
I 0.000 2.632 2.392
I 2.632 0.000 2.392
```

Output
* E_form (uncorrected): 4.11 eV per formula unit